--- A ---
LiPb2W | PBE | relaxed

The density of states at the Fermi level is 0.914 states/eV/atom. For the size of the total moment, the calculation gives 6.62 μB/cell. As for the crystal system: cubic.

It has space group Fm-3m (No. 225), with a = 7.000 Å, b = 7.000 Å, c = 7.000 Å, α = 90.00°, β = 90.00° and γ = 90.00°. The asymmetric unit holds Li at (0.000, 0.000, 0.000), Pb at (0.250, 0.250, 0.250) and W at (0.000, 0.000, 0.500).


--- B ---
LiPb2W | PBE | relaxed

The density of states at the Fermi level is 0.936 states/eV/atom. For the size of the total moment, the calculation gives 0.01 μB/cell. As for the crystal system: monoclinic.

It has space group Pm (No. 6), with a = 3.095 Å, b = 5.005 Å, c = 5.706 Å, α = 90.00°, β = 105.68° and γ = 90.00°. The asymmetric unit holds Li at (0.000, 0.000, 0.000), Pb at (0.275, 0.000, 0.540), Pb at (0.583, 0.500, 0.166) and W at (0.864, 0.500, 0.715).


Which structure is most stable, and how do the rest compare? From most to least stable: B, A.


--- A ---
LiPb2W | PBE | relaxed

The density of states at the Fermi level is 0.742 states/eV/atom. For the size of the total moment, the calculation gives 0.00 μB/cell. As for the crystal system: tetragonal.

It has space group P4/mmm (No. 123), with a = 4.860 Å, b = 4.860 Å, c = 3.501 Å, α = 90.00°, β = 90.00° and γ = 90.00°. The asymmetric unit holds Li at (0.000, 0.000, 0.000), Pb at (0.000, 0.500, 0.500) and W at (0.500, 0.500, 0.000).


--- B ---
LiPb2W | PBE | relaxed

The density of states at the Fermi level is 0.716 states/eV/atom. For the size of the total moment, the calculation gives 0.00 μB/cell. As for the crystal system: tetragonal.

It has space group P4mm (No. 99), with a = 3.821 Å, b = 3.821 Å, c = 5.785 Å, α = 90.00°, β = 90.00° and γ = 90.00°. The asymmetric unit holds Li at (0.000, 0.000, 0.000), Pb at (0.000, 0.000, 0.544), Pb at (0.500, 0.500, 0.209) and W at (0.500, 0.500, 0.731).


--- C ---
LiPb2W | PBE | relaxed

The density of states at the Fermi level is 0.397 states/eV/atom. For the size of the total moment, the calculation gives 0.00 μB/cell. As for the crystal system: orthorhombic.

It has space group Cmm2 (No. 35), with a = 3.649 Å, b = 4.755 Å, c = 11.002 Å, α = 90.00°, β = 90.00° and γ = 90.00°. The asymmetric unit holds Li at (0.000, 0.000, 0.000), Pb at (0.000, 0.000, 0.590), Pb at (0.000, 0.500, 0.224) and W at (0.000, 0.500, 0.808).


Which structure is most stable, and how do the rest compare? From most to least stable: C, B, A.


--- A ---
LiPb2W | PBE | relaxed

The density of states at the Fermi level is 0.786 states/eV/atom. For the size of the total moment, the calculation gives 10.66 μB/cell. As for the crystal system: cubic.

It has space group F-43m (No. 216), with a = 7.208 Å, b = 7.208 Å, c = 7.208 Å, α = 90.00°, β = 90.00° and γ = 90.00°. The asymmetric unit holds Li at (0.000, 0.000, 0.000), Pb at (0.000, 0.000, 0.500), Pb at (0.250, 0.250, 0.250) and W at (0.250, 0.250, 0.750).


--- B ---
LiPb2W | PBE | relaxed

The density of states at the Fermi level is 0.867 states/eV/atom. For the size of the total moment, the calculation gives 0.00 μB/cell. As for the crystal system: orthorhombic.

It has space group Pmmm (No. 47), with a = 3.213 Å, b = 3.783 Å, c = 7.020 Å, α = 90.00°, β = 90.00° and γ = 90.00°. The asymmetric unit holds Li at (0.000, 0.000, 0.000), Pb at (0.500, 0.500, 0.258) and W at (0.000, 0.000, 0.500).


Which structure is most stable, and how do the rest compare? From most to least stable: B, A.


--- A ---
LiPb2W | PBE | relaxed

The density of states at the Fermi level is 0.963 states/eV/atom. For the size of the total moment, the calculation gives 0.00 μB/cell. As for the crystal system: trigonal.

It has space group R3m (No. 160, hexagonal axes), with a = 3.1009 Å, b = 3.1009 Å, c = 34.4671 Å, α = 90.00°, β = 90.00° and γ = 120.00°. The asymmetric unit holds Li at (0.0000, 0.0000, 0.0000), Pb at (0.0000, 0.0000, 0.5274), Pb at (0.0000, 0.0000, 0.7447) and W at (0.0000, 0.0000, 0.2669).


--- B ---
LiPb2W | PBE | relaxed

The density of states at the Fermi level is 0.700 states/eV/atom. For the size of the total moment, the calculation gives 0.00 μB/cell. As for the crystal system: orthorhombic.

It has space group Pmm2 (No. 25), with a = 3.050 Å, b = 4.856 Å, c = 5.834 Å, α = 90.00°, β = 90.00° and γ = 90.00°. The asymmetric unit holds Li at (0.000, 0.000, 0.000), Pb at (0.000, 0.000, 0.538), Pb at (0.500, 0.500, 0.197) and W at (0.500, 0.500, 0.720).


Which structure is most stable, and how do the rest compare? From most to least stable: A, B.


--- A ---
Li3YPb | PBE | relaxed

The density of states at the Fermi level is 2.481 states/eV/atom. For the size of the total moment, the calculation gives 1.21 μB/cell. As for the crystal system: cubic.

It has space group Pm-3m (No. 221), with a = 5.402 Å, b = 5.402 Å, c = 5.402 Å, α = 90.00°, β = 90.00° and γ = 90.00°. The asymmetric unit holds Li at (0.000, 0.000, 0.500), Y at (0.000, 0.000, 0.000) and Pb at (0.500, 0.500, 0.500).


--- B ---
Li3YPb | PBE | relaxed

The density of states at the Fermi level is 0.771 states/eV/atom. For the size of the total moment, the calculation gives 0.00 μB/cell. As for the crystal system: cubic.

It has space group Pm-3m (No. 221), with a = 4.994 Å, b = 4.994 Å, c = 4.994 Å, α = 90.00°, β = 90.00° and γ = 90.00°. The asymmetric unit holds Li at (0.000, 0.000, 0.500), Y at (0.500, 0.500, 0.500) and Pb at (0.000, 0.000, 0.000).


Which structure is most stable, and how do the rest compare? From most to least stable: B, A.


--- A ---
Li2Y2Pb | PBE | relaxed

The density of states at the Fermi level is 0.730 states/eV/atom. For the size of the total moment, the calculation gives 0.00 μB/cell. As for the crystal system: tetragonal.

It has space group I4/mmm (No. 139), with a = 4.597 Å, b = 4.597 Å, c = 12.138 Å, α = 90.00°, β = 90.00° and γ = 90.00°. The asymmetric unit holds Li at (0.000, 0.000, 0.086), Y at (0.000, 0.500, 0.250) and Pb at (0.000, 0.000, 0.500).


--- B ---
Li2Y2Pb | PBE | relaxed

The density of states at the Fermi level is 0.560 states/eV/atom. For the size of the total moment, the calculation gives 3.17 μB/cell. As for the crystal system: tetragonal.

It has space group P4/mbm (No. 127), with a = 7.104 Å, b = 7.104 Å, c = 4.778 Å, α = 90.00°, β = 90.00° and γ = 90.00°. The asymmetric unit holds Li at (0.128, 0.372, 0.000), Y at (0.181, 0.681, 0.500) and Pb at (0.000, 0.000, 0.000).


Which structure is most stable, and how do the rest compare? From most to least stable: B, A.


--- A ---
LiYPb3 | PBE | relaxed

The density of states at the Fermi level is 0.903 states/eV/atom. For the size of the total moment, the calculation gives 0.00 μB/cell. As for the crystal system: cubic.

It has space group Pm-3m (No. 221), with a = 5.904 Å, b = 5.904 Å, c = 5.904 Å, α = 90.00°, β = 90.00° and γ = 90.00°. The asymmetric unit holds Li at (0.000, 0.000, 0.000), Y at (0.500, 0.500, 0.500) and Pb at (0.000, 0.500, 0.500).


--- B ---
LiYPb3 | PBE | relaxed

The density of states at the Fermi level is 0.850 states/eV/atom. For the size of the total moment, the calculation gives 0.00 μB/cell. As for the crystal system: cubic.

It has space group Pm-3m (No. 221), with a = 5.164 Å, b = 5.164 Å, c = 5.164 Å, α = 90.00°, β = 90.00° and γ = 90.00°. The asymmetric unit holds Li at (0.000, 0.000, 0.000), Y at (0.500, 0.500, 0.500) and Pb at (0.000, 0.000, 0.500).


Which structure is most stable, and how do the rest compare? From most to least stable: B, A.


--- A ---
LiZnPb3 | PBE | relaxed

The density of states at the Fermi level is 0.605 states/eV/atom. For the size of the total moment, the calculation gives 0.00 μB/cell. As for the crystal system: cubic.

It has space group Pm-3m (No. 221), with a = 5.184 Å, b = 5.184 Å, c = 5.184 Å, α = 90.00°, β = 90.00° and γ = 90.00°. The asymmetric unit holds Li at (0.000, 0.000, 0.000), Zn at (0.500, 0.500, 0.500) and Pb at (0.000, 0.000, 0.500).


--- B ---
LiZnPb3 | PBE | relaxed

The density of states at the Fermi level is 0.464 states/eV/atom. For the size of the total moment, the calculation gives 0.00 μB/cell. As for the crystal system: cubic.

It has space group Pm-3m (No. 221), with a = 5.461 Å, b = 5.461 Å, c = 5.461 Å, α = 90.00°, β = 90.00° and γ = 90.00°. The asymmetric unit holds Li at (0.000, 0.000, 0.000), Zn at (0.500, 0.500, 0.500) and Pb at (0.000, 0.500, 0.500).


Which structure is most stable, and how do the rest compare? From most to least stable: B, A.


--- A ---
Li3ZnPb2 | PBE | relaxed

The density of states at the Fermi level is 0.419 states/eV/atom. For the size of the total moment, the calculation gives 0.00 μB/cell. As for the crystal system: orthorhombic.

It has space group Cmcm (No. 63), with a = 14.993 Å, b = 5.486 Å, c = 6.238 Å, α = 90.00°, β = 90.00° and γ = 90.00°. The asymmetric unit holds Li at (0.000, 0.242, 0.250), Li at (0.171, 0.495, 0.750), Zn at (0.000, 0.274, 0.750) and Pb at (0.153, 0.000, 0.000).


--- B ---
Li3ZnPb2 | PBE | relaxed

The density of states at the Fermi level is 0.407 states/eV/atom. For the size of the total moment, the calculation gives 0.00 μB/cell. As for the crystal system: orthorhombic.

It has space group Cmmm (No. 65), with a = 4.691 Å, b = 14.046 Å, c = 3.662 Å, α = 90.00°, β = 90.00° and γ = 90.00°. The asymmetric unit holds Li at (0.000, 0.000, 0.000), Li at (0.000, 0.341, 0.000), Zn at (0.000, 0.500, 0.500) and Pb at (0.000, 0.158, 0.500).


Which structure is most stable, and how do the rest compare? From most to least stable: B, A.


--- A ---
LiZn2Pb2 | PBE | relaxed

The density of states at the Fermi level is 0.290 states/eV/atom. For the size of the total moment, the calculation gives 0.00 μB/cell. As for the crystal system: tetragonal.

It has space group P4/mbm (No. 127), with a = 8.117 Å, b = 8.117 Å, c = 3.640 Å, α = 90.00°, β = 90.00° and γ = 90.00°. The asymmetric unit holds Li at (0.000, 0.000, 0.000), Zn at (0.118, 0.382, 0.500) and Pb at (0.182, 0.682, 0.000).


--- B ---
LiZn2Pb2 | PBE | relaxed

The density of states at the Fermi level is 0.338 states/eV/atom. For the size of the total moment, the calculation gives 0.00 μB/cell. As for the crystal system: tetragonal.

It has space group I4/mmm (No. 139), with a = 4.818 Å, b = 4.818 Å, c = 11.406 Å, α = 90.00°, β = 90.00° and γ = 90.00°. The asymmetric unit holds Li at (0.000, 0.000, 0.000), Zn at (0.000, 0.000, 0.395) and Pb at (0.000, 0.500, 0.250).


Which structure is most stable, and how do the rest compare? From most to least stable: B, A.


--- A ---
LiZn2Pb2 | PBE | relaxed

The density of states at the Fermi level is 0.340 states/eV/atom. For the size of the total moment, the calculation gives 0.00 μB/cell. As for the crystal system: tetragonal.

It has space group I4/mmm (No. 139), with a = 3.689 Å, b = 3.689 Å, c = 17.131 Å, α = 90.00°, β = 90.00° and γ = 90.00°. The asymmetric unit holds Li at (0.000, 0.000, 0.000), Zn at (0.000, 0.500, 0.250) and Pb at (0.000, 0.000, 0.390).


--- B ---
LiZn2Pb2 | PBE | relaxed

The density of states at the Fermi level is 0.365 states/eV/atom. For the size of the total moment, the calculation gives 0.00 μB/cell. As for the crystal system: tetragonal.

It has space group P4/mbm (No. 127), with a = 7.306 Å, b = 7.306 Å, c = 4.311 Å, α = 90.00°, β = 90.00° and γ = 90.00°. The asymmetric unit holds Li at (0.000, 0.000, 0.000), Zn at (0.125, 0.375, 0.000) and Pb at (0.182, 0.682, 0.500).


Which structure is most stable, and how do the rest compare? From most to least stable: A, B.


--- A ---
Li2Zn2Pb | PBE | relaxed

The density of states at the Fermi level is 0.403 states/eV/atom. For the size of the total moment, the calculation gives 0.00 μB/cell. As for the crystal system: tetragonal.

It has space group I4/mmm (No. 139), with a = 4.140 Å, b = 4.140 Å, c = 11.775 Å, α = 90.00°, β = 90.00° and γ = 90.00°. The asymmetric unit holds Li at (0.000, 0.500, 0.250), Zn at (0.000, 0.000, 0.107) and Pb at (0.000, 0.000, 0.500).


--- B ---
Li2Zn2Pb | PBE | relaxed

The density of states at the Fermi level is 0.366 states/eV/atom. For the size of the total moment, the calculation gives 0.00 μB/cell. As for the crystal system: tetragonal.

It has space group P4/mbm (No. 127), with a = 7.317 Å, b = 7.317 Å, c = 3.475 Å, α = 90.00°, β = 90.00° and γ = 90.00°. The asymmetric unit holds Li at (0.145, 0.355, 0.000), Zn at (0.139, 0.639, 0.500) and Pb at (0.000, 0.000, 0.000).


--- C ---
Li2Zn2Pb | PBE | relaxed

The density of states at the Fermi level is 0.343 states/eV/atom. For the size of the total moment, the calculation gives 0.00 μB/cell. As for the crystal system: tetragonal.

It has space group P4/mbm (No. 127), with a = 7.432 Å, b = 7.432 Å, c = 3.428 Å, α = 90.00°, β = 90.00° and γ = 90.00°. The asymmetric unit holds Li at (0.170, 0.330, 0.000), Zn at (0.121, 0.621, 0.500) and Pb at (0.000, 0.000, 0.500).


Which structure is most stable, and how do the rest compare? From most to least stable: C, B, A.